1.
PrEuSi2: optimized geometry, PBE.

a = 5.177 Å, b = 5.177 Å, c = 5.175 Å
α = 59.99°, β = 59.99°, γ = 60.00°
Last column: magnetic moment on the atom in μB.
Fractional positions:
Eu  0.000  0.000  0.000  6.74
Pr  0.500  0.500  0.500  0.01
Si  0.249  0.249  0.252  -0.01
Si  0.751  0.751  0.748  -0.01

Values from the calculation:
Total energy ... -27.209 eV per formula unit
Energy relative to the elements, uncorrected ... -327.2 meV/atom

=====

2.
Sc3Al4Cd2: optimized geometry, PBE.

a = 4.590 Å, b = 5.626 Å, c = 8.559 Å
α = 116.16°, β = 90.00°, γ = 114.07°
Fractional positions:
Sc  0.664  0.328  0.670
Sc  0.000  0.000  0.000
Sc  0.336  0.672  0.330
Al  0.735  0.470  0.063
Al  0.265  0.530  0.937
Al  0.955  0.909  0.618
Al  0.045  0.091  0.382
Cd  0.616  0.232  0.280
Cd  0.384  0.768  0.720

Values from the calculation:
Energy of formation ... -0.37 eV/atom
Total energy ... -39.086 eV per formula unit

=====

3.
TaAl2Ag: optimized geometry, PBE.

a = 5.485 Å, b = 5.485 Å, c = 5.485 Å
α = 149.49°, β = 124.65°, γ = 64.52°
Fractional positions:
Al  0.009  0.009  0.000
Al  0.491  0.491  0.000
Ag  0.250  0.750  0.500
Ta  0.750  0.250  0.500

Values from the calculation:
Energy of formation ... 0.08 eV/atom
Total energy ... -21.878 eV per formula unit

=====

4.
CaZn6Rh4: optimized geometry, PBE.

a = 6.599 Å, b = 6.599 Å, c = 6.599 Å
α = 89.13°, β = 120.50°, γ = 120.50°
Fractional positions:
Ca  0.000  0.000  0.000
Zn  0.000  0.892  0.504
Zn  0.000  0.504  0.892
Zn  0.612  0.108  0.108
Zn  0.500  0.000  0.500
Zn  0.388  0.496  0.496
Zn  0.500  0.500  0.000
Rh  0.000  0.252  0.583
Rh  0.668  0.417  0.417
Rh  0.000  0.583  0.252
Rh  0.332  0.748  0.748

Values from the calculation:
Energy of formation ... -0.14 eV/atom
Total energy ... -40.641 eV per formula unit

=====

5.
ZrGaSe2Br: optimized geometry, PBE.

a = 5.247 Å, b = 5.247 Å, c = 5.404 Å
α = 90.00°, β = 90.00°, γ = 90.00°
Fractional positions:
Ga  0.500  0.500  0.500
Se  0.000  0.500  0.000
Se  0.500  0.000  0.000
Br  0.000  0.000  0.500
Zr  0.000  0.000  0.000

Values from the calculation:
Total energy ... -23.859 eV per formula unit
Energy relative to the elements, uncorrected ... -728.4 meV/atom

=====

6.
LaFeTc: optimized geometry, PBE.

a = 2.994 Å, b = 2.994 Å, c = 7.264 Å
α = 90.00°, β = 90.00°, γ = 120.00°
Last column: magnetic moment on the atom in μB.
Fractional positions:
Fe  0.000  0.000  0.955  2.39
La  0.333  0.667  0.331  -0.05
Tc  0.667  0.333  0.714  -0.12

Values from the calculation:
Energy of formation ... 0.67 eV/atom
Total energy ... -21.747 eV per formula unit

=====

7.
RbInHCl: optimized geometry, PBE.

a = 5.325 Å, b = 5.325 Å, c = 5.325 Å
α = 60.00°, β = 60.00°, γ = 60.00°
Fractional positions:
H  0.250  0.250  0.250
Cl  0.750  0.750  0.750
Rb  0.500  0.500  0.500
In  0.000  0.000  0.000

Values from the calculation:
Total energy ... -10.769 eV per formula unit

=====

8.
RbAgB2Se4: optimized geometry, PBE.

a = 6.126 Å, b = 7.181 Å, c = 7.181 Å
α = 76.28°, β = 64.75°, γ = 64.75°
Fractional positions:
Rb  0.000  0.000  0.000
Ag  0.500  0.500  0.500
B  0.180  0.320  0.320
B  0.820  0.680  0.680
Se  0.408  0.175  0.451
Se  0.034  0.825  0.549
Se  0.966  0.451  0.175
Se  0.592  0.549  0.825

Values from the calculation:
Total energy ... -33.071 eV per formula unit
Energy relative to the elements, uncorrected ... -244.9 meV/atom

=====

9.
Pr3Pt2: optimized geometry, PBE.

a = 3.669 Å, b = 3.669 Å, c = 10.517 Å
α = 100.04°, β = 100.04°, γ = 90.00°
Fractional positions:
Pr  0.000  0.000  0.000
Pr  0.172  0.172  0.344
Pr  0.828  0.828  0.656
Pt  0.408  0.408  0.815
Pt  0.592  0.592  0.185

Values from the calculation:
Energy of formation ... -0.79 eV/atom
Total energy ... -30.389 eV per formula unit

=====

10.
Pr2TcGe3: optimized geometry, PBE.

a = 6.108 Å, b = 8.606 Å, c = 6.673 Å
α = 108.89°, β = 117.24°, γ = 90.00°
Fractional positions:
Pr  0.691  0.596  0.384
Pr  0.693  0.096  0.384
Pr  0.307  0.904  0.616
Pr  0.309  0.404  0.616
Tc  0.881  0.750  0.000
Tc  0.119  0.250  0.000
Ge  0.507  0.250  0.000
Ge  0.493  0.750  0.000
Ge  0.116  0.057  0.229
Ge  0.887  0.443  0.771
Ge  0.113  0.557  0.229
Ge  0.884  0.943  0.771

Values from the calculation:
Energy of formation ... -0.37 eV/atom
Total energy ... -35.979 eV per formula unit

=====

11.
CaIn4Cl: optimized geometry, PBE.

a = 6.213 Å, b = 6.213 Å, c = 6.213 Å
α = 60.00°, β = 60.00°, γ = 60.00°
Fractional positions:
Ca  0.750  0.750  0.750
In  0.876  0.375  0.375
In  0.375  0.375  0.876
In  0.375  0.876  0.375
In  0.375  0.375  0.375
Cl  0.000  0.000  0.000

Values from the calculation:
Total energy ... -16.478 eV per formula unit
Energy relative to the elements, uncorrected ... -279.3 meV/atom

=====

12.
ZnPtSe2: optimized geometry, PBE.

a = 3.780 Å, b = 4.805 Å, c = 4.805 Å
α = 67.14°, β = 90.00°, γ = 90.00°
Fractional positions:
Pt  0.500  0.750  0.750
Se  0.000  0.959  0.959
Se  0.000  0.541  0.541
Zn  0.500  0.250  0.250

Values from the calculation:
Total energy ... -15.066 eV per formula unit
Energy relative to the elements, uncorrected ... -195.6 meV/atom